# 1
Computed, not measured: crystalline Ag7Pt2Au at its relaxed geometry at the PBE-GGA level of DFT.

Output
Raw total energy = -3.138 eV/atom

Geometry as POSCAR:
```
Ag7Pt2Au
1.0
-3.2521 1.8987 2.4848
3.8392 -1.8335 6.4258
1.1616 6.7105 -3.6073
Ag Pt Au
7 2 1
Cartesian
3.2970 -0.1034 4.3940
1.7038 4.9803 -1.5756
-1.0048 2.7685 0.6655
2.7535 4.0071 4.6378
-0.4223 0.9100 2.8479
2.1710 5.8657 2.4553
0.8743 3.3878 2.6516
1.4097 1.6795 4.6577
0.3390 5.0961 0.6456
0.0000 0.0000 0.0000
```


# 2
Computed, not measured: crystalline LuHfVIr at its relaxed geometry at the PBE-GGA level of DFT.

Output
Raw total energy = -8.514 eV/atom

Geometry as POSCAR:
```
LuHfVIr
1.0
4.7320 0.0000 0.0000
2.3660 4.0980 0.0000
2.3660 1.3660 3.8636
Ir Hf Lu V
1 1 1 1
Cartesian
7.0980 4.0980 2.8977
0.0000 0.0000 0.0000
4.7320 2.7320 1.9318
2.3660 1.3660 0.9659
```


no.,V (Å³ per atom),energy of formation from the pure elements (meV per atom)
1,22.85,394
2,18.73,-401